(1)
First-principles (PBE-GGA) data for a relaxed Tb2PmPr3Y6 crystal, as listed in Alexandria.

## Properties
The formation enthalpy at 0 K is 0.01 eV per atom. As for the calculated density: 5.91 g/cm3. For the density of states at the Fermi level, the calculation gives 31.0 states/eV per cell.

```
data_Tb2PmPr3Y6
_chemical_formula_sum 'Tb4 Pm2 Pr6 Y12'
_symmetry_space_group_name_H-M 'C 1 2/m 1'
_symmetry_Int_Tables_number 12
_cell_length_a 6.269
_cell_length_b 10.854
_cell_length_c 11.896
_cell_angle_alpha 90.00
_cell_angle_beta 100.08
_cell_angle_gamma 90.00
loop_
_symmetry_equiv_pos_as_xyz
'x,y,z'
'-x,-y,-z'
'-x,y,-z'
'x,-y,z'
'x+1/2,y+1/2,z'
'-x+1/2,-y+1/2,-z'
'-x+1/2,y+1/2,-z'
'x+1/2,-y+1/2,z'
loop_
_atom_site_label
_atom_site_fract_x
_atom_site_fract_y
_atom_site_fract_z
Tb1 0.000 0.167 0.000
Pm1 0.000 0.500 0.000
Pr1 0.000 0.000 0.500
Pr2 0.000 0.333 0.500
Y1 0.249 0.000 0.247
Y2 0.249 0.333 0.247
```



(2)
First-principles (PBE-GGA) data for a relaxed Rb3SiBr crystal, as listed in Alexandria.

## Properties
As for the calculated density: 2.22 g/cm3. The energy above the most stable polymorph in this dataset comes out at 0.000 eV/atom. The formation energy (no corrections) is -0.24 eV/atom. For the density of states at the Fermi level, the calculation gives 2.1 states/eV per cell.

```
data_Rb3SiBr
_chemical_formula_sum 'Rb3 Si1 Br1'
_symmetry_space_group_name_H-M 'P m -3 m'
_symmetry_Int_Tables_number 221
_symmetry_space_group_name_Hall '-P 4 2 3'
_cell_length_a 6.479
_cell_length_b 6.479
_cell_length_c 6.479
_cell_angle_alpha 90.00
_cell_angle_beta 90.00
_cell_angle_gamma 90.00
loop_
_atom_site_label
_atom_site_fract_x
_atom_site_fract_y
_atom_site_fract_z
Rb1 0.000 0.000 0.500
Si1 0.500 0.500 0.500
Br1 0.000 0.000 0.000
```



(3)
First-principles (PBE-GGA) data for a relaxed YMgZr2Ir4 crystal, as listed in Alexandria.

## Properties
The formation enthalpy at 0 K is -0.72 eV per atom. As for the calculated density: 12.26 g/cm3. For the density of states at the Fermi level, the calculation gives 17.5 states/eV per cell.

```
data_YMgZr2Ir4
_chemical_formula_sum 'Y3 Mg3 Zr6 Ir12'
_symmetry_space_group_name_H-M 'R -3 m'
_symmetry_Int_Tables_number 166
_symmetry_space_group_name_Hall '-R 3 2"'
_cell_length_a 4.6555
_cell_length_b 4.6555
_cell_length_c 23.0430
_cell_angle_alpha 90.00
_cell_angle_beta 90.00
_cell_angle_gamma 120.00
loop_
_atom_site_label
_atom_site_fract_x
_atom_site_fract_y
_atom_site_fract_z
Y1 0.0000 0.0000 0.0000
Mg1 0.0000 0.0000 0.5000
Zr1 0.0000 0.0000 0.2449
Ir1 0.0000 0.0000 0.1256
Ir2 0.0000 0.0000 0.3778
```



(4)
First-principles (PBE-GGA) data for a relaxed Ba2CaSm2Hg5 crystal, as listed in Alexandria.

## Properties
The formation enthalpy at 0 K is -0.39 eV per atom. As for the calculated density: 8.42 g/cm3. For the density of states at the Fermi level, the calculation gives 14.8 states/eV per cell.

```
data_Ba2CaSm2Hg5
_chemical_formula_sum 'Ba4 Ca2 Sm4 Hg10'
_symmetry_space_group_name_H-M 'P 4/m b m'
_symmetry_Int_Tables_number 127
_symmetry_space_group_name_Hall '-P 4 2ab'
_cell_length_a 12.313
_cell_length_b 12.313
_cell_length_c 4.209
_cell_angle_alpha 90.00
_cell_angle_beta 90.00
_cell_angle_gamma 90.00
loop_
_atom_site_label
_atom_site_fract_x
_atom_site_fract_y
_atom_site_fract_z
Ba1 0.172 0.328 0.000
Ca1 0.000 0.000 0.000
Sm1 0.128 0.628 0.000
Hg1 0.000 0.500 0.500
Hg2 0.068 0.811 0.500
```



Q: The lowest calculated density belongs to which entry?
A: Rb3SiBr